Entry 1:
PmSm6Ho2Th3 | PBE-GGA | optimized geometry

Values from the calculation:
- Crystal system: monoclinic
- Electronic total energy: -0.3925 Ry per atom
- Formation energy from the elements: 0.033 eV/atom
- Symmetry: C2/m (12)

Cell: 6.234 6.234 11.945 Å, 95.00 95.00 119.95°
Atoms (fractional coordinates):
Pm  0.000  0.000  0.000
Sm  0.915  0.581  0.746
Sm  0.751  0.751  0.254
Sm  0.085  0.419  0.254
Sm  0.581  0.915  0.746
Sm  0.249  0.249  0.746
Sm  0.419  0.085  0.254
Ho  0.333  0.667  0.000
Ho  0.667  0.333  0.000
Th  0.166  0.834  0.500
Th  0.834  0.166  0.500
Th  0.500  0.500  0.500

Entry 2:
ZrNb2TcAu | PBE-GGA | optimized geometry

Values from the calculation:
- Crystal system: tetragonal
- Electronic total energy: -0.5008 Ry per atom
- Formation energy from the elements: 1.652 eV/atom
- Symmetry: P4/mmm (123)

Cell: 4.882 4.678 4.882 Å, 90.00 90.00 90.00°
Atoms (fractional coordinates):
Nb  0.000  0.000  0.500
Nb  0.500  0.000  0.000
Au  0.500  0.500  0.500
Tc  0.000  0.500  0.000
Zr  0.000  0.000  0.000

Entry 3:
Al2PtAu | PBE-GGA | optimized geometry

Values from the calculation:
- Crystal system: monoclinic
- Electronic total energy: -0.3539 Ry per atom
- Formation energy from the elements: -0.615 eV/atom
- Distance to the lowest polymorph of the same formula: 0.083 eV per atom
- Symmetry: P2/m (10)

Cell: 3.199 3.042 7.079 Å, 64.90 90.00 90.00°
Atoms (fractional coordinates):
Au  0.500  0.250  0.250
Al  0.000  0.016  0.985
Al  0.000  0.484  0.515
Pt  0.500  0.750  0.750

Entry 4:
MoPt3 | PBE-GGA | optimized geometry

Values from the calculation:
- Crystal system: orthorhombic
- Electronic total energy: -0.5524 Ry per atom
- Formation energy from the elements: -0.277 eV/atom
- Symmetry: Pmmm (47)

Cell: 2.788 3.996 5.574 Å, 90.00 90.00 90.00°
Atoms (fractional coordinates):
Mo  0.000  0.000  0.000
Pt  0.500  0.500  0.758
Pt  0.000  0.000  0.500
Pt  0.500  0.500  0.242

Entry 5:
Li3B4C4 | PBE-GGA | optimized geometry

Values from the calculation:
- Crystal system: monoclinic
- Electronic total energy: -0.4800 Ry per atom
- Formation energy from the elements: -0.227 eV/atom
- Distance to the lowest polymorph of the same formula: 0.014 eV per atom
- Symmetry: C2/c (15)

Cell: 7.730 7.730 4.721 Å, 90.07 89.93 138.75°
Atoms (fractional coordinates):
C  0.627  0.374  0.331
C  0.623  0.876  0.169
C  0.381  0.121  0.835
C  0.374  0.627  0.669
C  0.129  0.869  0.335
C  0.121  0.381  0.165
C  0.876  0.623  0.831
C  0.869  0.129  0.665
B  0.875  0.129  0.334
B  0.375  0.121  0.166
B  0.625  0.877  0.836
B  0.129  0.875  0.666
B  0.373  0.625  0.336
B  0.877  0.625  0.164
B  0.121  0.375  0.834
B  0.625  0.373  0.664
Li  0.500  0.999  0.501
Li  0.251  0.750  0.001
Li  0.773  0.773  0.500
Li  0.999  0.500  0.499
Li  0.477  0.477  0.000
Li  0.750  0.251  0.999

Entry 6:
Pr5YIn4 | PBE-GGA | optimized geometry

Values from the calculation:
- Crystal system: tetragonal
- Electronic total energy: -0.3310 Ry per atom
- Formation energy from the elements: -0.372 eV/atom
- Distance to the lowest polymorph of the same formula: 0.000 eV per atom
- Symmetry: P4/mmm (123)

Cell: 3.678 3.678 22.743 Å, 90.00 90.00 90.00°
Atoms (fractional coordinates):
Pr  0.500  0.500  0.116
Pr  0.500  0.500  0.307
Pr  0.500  0.500  0.500
Pr  0.500  0.500  0.693
Pr  0.500  0.500  0.884
Y  0.000  0.000  0.000
In  0.000  0.000  0.211
In  0.000  0.000  0.404
In  0.000  0.000  0.596
In  0.000  0.000  0.789

Entry 7:
NbV2P | PBE-GGA | optimized geometry

Values from the calculation:
- Crystal system: tetragonal
- Electronic total energy: -0.6497 Ry per atom
- Formation energy from the elements: -0.410 eV/atom
- Symmetry: P4/mmm (123)

Cell: 3.231 3.231 5.453 Å, 90.00 90.00 90.00°
Atoms (fractional coordinates):
P  0.500  0.500  0.500
Nb  0.500  0.500  0.000
V  0.000  0.000  0.719
V  0.000  0.000  0.281

Entry 8:
Mg2InHg2Bi | PBE-GGA | optimized geometry

Values from the calculation:
- Crystal system: orthorhombic
- Electronic total energy: -0.1340 Ry per atom
- Formation energy from the elements: -0.088 eV/atom
- Symmetry: Pmc2_1 (26)

Cell: 4.624 6.798 9.556 Å, 90.00 90.00 90.00°
Atoms (fractional coordinates):
Mg  0.000  0.351  0.871
Mg  0.500  0.163  0.330
Mg  0.000  0.851  0.129
Mg  0.500  0.663  0.670
In  0.000  0.920  0.491
In  0.000  0.420  0.509
Hg  0.500  0.086  0.022
Hg  0.000  0.350  0.179
Hg  0.500  0.586  0.978
Hg  0.000  0.850  0.821
Bi  0.500  0.176  0.682
Bi  0.500  0.676  0.318

Entry 9:
Na2ZrCS | PBE-GGA | optimized geometry

Values from the calculation:
- Crystal system: tetragonal
- Electronic total energy: -0.3539 Ry per atom
- Symmetry: P4/mmm (123)
- Formation energy (no corrections): 92 meV/atom

Cell: 4.588 4.400 4.588 Å, 90.00 90.00 90.00°
Atoms (fractional coordinates):
Na  0.000  0.000  0.500
Na  0.500  0.000  0.000
S  0.500  0.500  0.500
C  0.000  0.000  0.000
Zr  0.000  0.500  0.000

Entry 10:
UTiMn2 | PBE-GGA | optimized geometry

Values from the calculation:
- Crystal system: tetragonal
- Electronic total energy: -0.6876 Ry per atom
- Formation energy from the elements: 0.026 eV/atom
- Symmetry: P4/mmm (123)

Cell: 2.923 2.923 7.037 Å, 90.00 90.00 90.00°
Atoms (fractional coordinates):
Mn  0.000  0.000  0.783
Mn  0.000  0.000  0.217
U  0.500  0.500  0.500
Ti  0.500  0.500  0.000

Entry 11:
Ac4Bi3Se | PBE-GGA | optimized geometry

Values from the calculation:
- Crystal system: monoclinic
- Electronic total energy: -0.3793 Ry per atom
- Symmetry: P2/c (13)
- Formation energy (no corrections): -1216 meV/atom

Cell: 8.294 8.274 9.586 Å, 90.00 90.00 109.52°
Atoms (fractional coordinates):
Ac  0.996  0.247  0.629
Ac  0.501  0.243  0.879
Ac  0.496  0.247  0.371
Ac  0.001  0.243  0.121
Ac  0.999  0.757  0.879
Ac  0.504  0.753  0.629
Ac  0.499  0.757  0.121
Ac  0.004  0.753  0.371
Bi  0.750  0.000  0.373
Bi  0.250  0.000  0.627
Bi  0.750  0.500  0.626
Bi  0.750  0.500  0.124
Bi  0.250  0.500  0.374
Bi  0.250  0.500  0.876
Se  0.750  0.000  0.877
Se  0.250  0.000  0.123

Entry 12:
PaAgH | PBE-GGA | optimized geometry

Values from the calculation:
- Crystal system: orthorhombic
- Electronic total energy: -0.3701 Ry per atom
- Symmetry: Cmcm (63)

Cell: 3.115 5.461 6.186 Å, 90.00 90.00 106.57°
Atoms (fractional coordinates):
H  0.565  0.131  0.750
H  0.435  0.869  0.250
Pa  0.000  0.000  0.500
Pa  0.000  0.000  0.000
Ag  0.726  0.452  0.250
Ag  0.274  0.548  0.750

Entry 13:
PmDy6In6 | PBE-GGA | optimized geometry

Values from the calculation:
- Crystal system: hexagonal
- Electronic total energy: -0.3003 Ry per atom
- Formation energy from the elements: -0.332 eV/atom
- Symmetry: P6/mmm (191)

Cell: 6.260 6.260 10.783 Å, 90.00 90.00 120.00°
Atoms (fractional coordinates):
Pm  0.000  0.000  0.000
Dy  0.000  0.000  0.661
Dy  0.000  0.000  0.339
Dy  0.333  0.667  0.000
Dy  0.667  0.333  0.000
Dy  0.333  0.667  0.500
Dy  0.667  0.333  0.500
In  0.000  0.500  0.754
In  0.500  0.000  0.754
In  0.500  0.500  0.754
In  0.500  0.000  0.246
In  0.000  0.500  0.246
In  0.500  0.500  0.246

Entry 14:
ReSbAu2 | PBE-GGA | optimized geometry

Values from the calculation:
- Crystal system: monoclinic
- Electronic total energy: -0.3942 Ry per atom
- Symmetry: Cm (8)
- Formation energy (no corrections): 417 meV/atom

Cell: 5.209 5.209 5.335 Å, 65.11 65.11 35.84°
Atoms (fractional coordinates):
Au  0.017  0.017  0.940
Au  0.778  0.778  0.812
Re  0.492  0.492  0.387
Sb  0.214  0.214  0.361

Entry 15:
CsZnGa | PBE-GGA | optimized geometry

Values from the calculation:
- Crystal system: hexagonal
- Electronic total energy: -0.1197 Ry per atom
- Formation energy from the elements: 0.090 eV/atom
- Distance to the lowest polymorph of the same formula: 0.088 eV per atom
- Symmetry: P-6m2 (187)

Cell: 6.223 4.402 4.402 Å, 120.00 90.00 90.00°
Atoms (fractional coordinates):
Cs  0.667  0.333  0.667
Zn  0.167  0.667  0.333
Ga  0.167  0.000  0.000

Entry 16:
Pm3SmGe3 | PBE-GGA | optimized geometry

Values from the calculation:
- Crystal system: trigonal
- Electronic total energy: -0.3940 Ry per atom
- Formation energy from the elements: -0.671 eV/atom
- Symmetry: R-3 (148)

Cell: 8.920 8.920 7.926 Å, 55.76 55.76 60.00°
Atoms (fractional coordinates):
Pm  0.372  0.806  0.718
Pm  0.806  0.105  0.718
Pm  0.105  0.372  0.718
Pm  0.895  0.628  0.282
Pm  0.194  0.895  0.282
Pm  0.628  0.194  0.282
Sm  0.330  0.330  0.009
Sm  0.670  0.670  0.991
Ge  0.290  0.554  0.222
Ge  0.933  0.290  0.222
Ge  0.554  0.933  0.222
Ge  0.446  0.067  0.778
Ge  0.067  0.710  0.778
Ge  0.710  0.446  0.778

Entry 17:
Pa2CoOs | PBE-GGA | optimized geometry

Values from the calculation:
- Crystal system: tetragonal
- Electronic total energy: -0.6972 Ry per atom
- Formation energy from the elements: -0.154 eV/atom
- Distance to the lowest polymorph of the same formula: 0.267 eV per atom
- Symmetry: P4/mmm (123)

Cell: 3.375 3.375 6.745 Å, 90.00 90.00 90.00°
Atoms (fractional coordinates):
Co  0.500  0.500  0.000
Pa  0.000  0.000  0.763
Pa  0.000  0.000  0.237
Os  0.500  0.500  0.500

Entry 18:
DyScNiSn | PBE-GGA | optimized geometry

Values from the calculation:
- Crystal system: cubic
- Electronic total energy: -0.4134 Ry per atom
- Formation energy from the elements: -0.445 eV/atom
- Symmetry: F-43m (216)

Cell: 4.950 4.950 4.950 Å, 60.00 60.00 60.00°
Atoms (fractional coordinates):
Sc  0.000  0.000  0.000
Ni  0.750  0.750  0.750
Sn  0.250  0.250  0.250
Dy  0.500  0.500  0.500

Entry 19:
AcPr2SmSe4 | PBE-GGA | optimized geometry

Values from the calculation:
- Crystal system: monoclinic
- Electronic total energy: -0.4314 Ry per atom
- Symmetry: P2/m (10)
- Formation energy (no corrections): -1829 meV/atom

Cell: 4.248 7.424 7.521 Å, 71.10 90.00 90.00°
Atoms (fractional coordinates):
Ac  0.500  0.500  0.000
Pr  0.000  0.000  0.000
Pr  0.500  0.000  0.500
Sm  0.000  0.500  0.500
Se  0.000  0.755  0.739
Se  0.000  0.245  0.261
Se  0.500  0.748  0.260
Se  0.500  0.252  0.740

Entry 20:
Pu2NbRu3 | PBE-GGA | optimized geometry

Values from the calculation:
- Crystal system: monoclinic
- Electronic total energy: -0.8071 Ry per atom
- Formation energy from the elements: 0.113 eV/atom
- Symmetry: C2/m (12)

Cell: 3.104 5.000 7.739 Å, 108.85 89.91 90.00°
Atoms (fractional coordinates):
Pu  0.000  0.659  0.318
Pu  0.000  0.341  0.682
Nb  0.500  0.000  0.000
Ru  0.500  0.500  0.000
Ru  0.500  0.179  0.358
Ru  0.500  0.821  0.642